1.
Density functional theory data (PBE) for a relaxed MnCu5Au8 crystal.

ΔH_f (0 K) = 0.09 eV/atom
Total DFT energy (no corrections) = -0.2866 Ry per atom

a b c (Å): 7.9260 7.9260 7.4969
angles (deg): 90.00 90.00 90.00
Space group I-4 (No. 82)
One atom of each set of equivalent atoms:
Mn1 0.0000 0.0000 0.0000
Cu1 0.0000 0.5000 0.2500
Cu2 0.0998 0.1698 0.5999
Au1 0.0559 0.3352 0.9162
Au2 0.1236 0.2037 0.2548

---

2.
Density functional theory data (PBE) for a relaxed V12Re2Mo5 crystal.

ΔH_f (0 K) = 0.18 eV/atom
Total DFT energy (no corrections) = -0.7160 Ry per atom

a b c (Å): 13.1650 5.1759 8.5298
angles (deg): 90.00 106.33 90.00
Space group C2/m (No. 12)
One atom of each set of equivalent atoms:
V1 0.0657 0.0000 0.3791
V2 0.0994 0.2512 0.7941
V3 0.1060 0.5000 0.2878
V4 0.2019 0.2515 0.5985
Re1 0.0000 0.2502 0.0000
Mo1 0.0000 0.5000 0.5000
Mo2 0.1829 0.0000 0.1510
Mo3 0.2108 0.5000 0.0721

---

3.
Density functional theory data (PBE) for a relaxed Tb2Dy2Rh3 crystal.

ΔH_f (0 K) = -0.78 eV/atom
Total DFT energy (no corrections) = -0.4826 Ry per atom

a b c (Å): 8.3236 4.8173 8.4293
angles (deg): 90.00 109.24 90.00
Space group C2/m (No. 12)
One atom of each set of equivalent atoms:
Tb1 0.1251 0.0000 0.3747
Dy1 0.1244 0.5000 0.8734
Rh1 0.0000 0.0000 0.0000
Rh2 0.2488 0.5000 0.2473

---

4.
Density functional theory data (PBE) for a relaxed Hf3GePt crystal.

ΔH_f (0 K) = 0.18 eV/atom
Excess energy over the best structure of this formula in the dataset = 0 meV/atom
Total DFT energy (no corrections) = -0.5822 Ry per atom

a b c (Å): 5.0299 5.0299 5.0299
angles (deg): 90.00 90.00 90.00
Space group Pm-3m (No. 221)
One atom of each set of equivalent atoms:
Hf1 0.0000 0.0000 0.5000
Ge1 0.5000 0.5000 0.5000
Pt1 0.0000 0.0000 0.0000

---

5.
Density functional theory data (PBE) for a relaxed PrBi2P2Pt7 crystal.

ΔH_f (0 K) = -0.58 eV/atom
Total DFT energy (no corrections) = -0.4448 Ry per atom

a b c (Å): 4.0579 4.0579 29.8974
angles (deg): 90.00 90.00 90.00
Space group I4/mmm (No. 139)
One atom of each set of equivalent atoms:
Pr1 0.0000 0.0000 0.0000
Bi1 0.0000 0.0000 0.2106
P1 0.0000 0.0000 0.3817
Pt1 0.0000 0.0000 0.3054
Pt2 0.0000 0.0000 0.5000
Pt3 0.0000 0.5000 0.0765

---

6.
Density functional theory data (PBE) for a relaxed KNa2Sb2Au crystal.

Formation energy from raw total energies = -0.2212 eV/atom
Total DFT energy (no corrections) = -0.2032 Ry per atom

a b c (Å): 6.1050 6.1050 12.2140
angles (deg): 90.00 90.00 90.00
Space group I4/mmm (No. 139)
One atom of each set of equivalent atoms:
K1 0.0000 0.0000 0.0000
Na1 0.0000 0.5000 0.2500
Sb1 0.0000 0.0000 0.2870
Au1 0.0000 0.0000 0.5000

---

Number 1: DOS(E_F) 5.31 states/eV/f.u.. Number 2: DOS(E_F) 21.75 states/eV/f.u.. Number 3: DOS(E_F) 3.30 states/eV/f.u.. Number 4: DOS(E_F) 2.18 states/eV/f.u.. Number 5: DOS(E_F) 4.14 states/eV/f.u.. Number 6: DOS(E_F) 3.45 states/eV/f.u..